No. 1
DFT (PBE) results for a relaxed structure of K2NaCu2.

```
10
Lattice="8.008 0.000 0.000 0.000 8.008 0.000 0.000 0.000 5.043" Properties=species:S:1:pos:R:3 pbc="T T T"
Cu 7.154 4.858 0.000
K 2.606 1.398 2.521
K 5.402 6.610 2.521
Na 0.000 0.000 0.000
Na 4.004 4.004 0.000
K 1.398 5.402 2.521
Cu 0.854 3.150 0.000
K 6.610 2.606 2.521
Cu 3.150 7.154 0.000
Cu 4.858 0.854 0.000
```

Computed properties:
Volume in A^3/atom: 32.3
Spin magnetization in Bohr magnetons per cell: 0.0
Space-group type: P4/mbm
Raw total energy in eV/cell: -20.3

---

No. 2
DFT (PBE) results for a relaxed structure of Tb12ErSc6.

```
19
Lattice="9.056 0.000 0.000 -3.019 8.538 0.000 -3.019 -4.269 7.394" Properties=species:S:1:pos:R:3 pbc="T T T"
Sc 3.851 3.680 1.019
Tb 6.255 1.980 0.518
Tb -0.423 0.299 3.430
Tb 2.596 1.149 5.938
Tb 3.237 7.100 1.456
Er 0.000 0.000 0.000
Tb 2.801 0.542 1.974
Tb -3.237 2.289 6.877
Sc 0.832 5.815 2.678
Sc -0.832 0.589 6.375
Tb -2.596 5.717 1.974
Sc 2.186 -1.546 4.716
Tb 3.441 3.970 3.964
Tb 0.218 3.727 5.420
Tb -0.218 -2.831 5.938
Sc 5.205 0.957 3.697
Tb 5.615 -1.448 5.420
Tb 0.423 3.120 1.456
Sc -2.186 3.312 3.697
```

Computed properties:
Volume in A^3/atom: 30.1
Spin magnetization in Bohr magnetons per cell: 0.0
Space-group type: Im-3
Raw total energy in eV/cell: -93.6

---

No. 3
DFT (PBE) results for a relaxed structure of Nd2W2N5.

```
9
Lattice="3.929 0.000 0.000 -1.964 5.767 -0.430 0.000 -1.327 5.924" Properties=species:S:1:pos:R:3 pbc="T T T"
N 1.964 3.416 2.313
N 1.964 0.787 5.529
Nd 1.964 0.887 1.735
N 0.000 0.000 0.000
W 0.000 0.487 4.967
N 0.000 3.654 -0.035
Nd 0.000 3.554 3.760
W 1.964 3.954 0.528
N 0.000 1.025 3.181
```

Computed properties:
Volume in A^3/atom: 14.7
Spin magnetization in Bohr magnetons per cell: 0.0
Space-group type: C2/m
ΔE_f (raw) in kJ/mol of atoms: -77
Raw total energy in eV/cell: -84.3

---

No. 4
DFT (PBE) results for a relaxed structure of Au.

```
2
Lattice="4.711 0.000 0.000 -2.355 4.080 0.000 0.000 0.000 2.731" Properties=species:S:1:pos:R:3 pbc="T T T"
Au 2.355 1.360 1.365
Au 0.000 2.720 1.365
```

Computed properties:
Volume in A^3/atom: 26.2
Spin magnetization in Bohr magnetons per cell: 0.0
Space-group type: P6/mmm
Raw total energy in eV/cell: -5.7

---

No. 5
DFT (PBE) results for a relaxed structure of Pu2UAu.

```
4
Lattice="-0.168 3.137 -0.083 -0.714 1.604 2.606 10.361 2.219 3.368" Properties=species:S:1:pos:R:3 pbc="T T T"
U 4.739 3.480 2.946
Au 0.000 0.000 0.000
Pu 7.500 2.048 2.689
Pu 1.979 4.912 3.202
```

Computed properties:
Volume in A^3/atom: 23.5
Spin magnetization in Bohr magnetons per cell: 12.1
Space-group type: R-3m
Raw total energy in eV/cell: -41.9

---

No. 6
DFT (PBE) results for a relaxed structure of H2AuSe2.

```
10
Lattice="-5.261 -1.021 -4.713 2.009 -6.805 -0.768 -2.081 -0.899 2.517" Properties=species:S:1:pos:R:3 pbc="T T T"
Se -3.676 -3.028 -4.120
Se -1.917 -6.284 -3.828
H -2.740 -1.700 -0.593
Au -1.626 -3.913 -2.741
H -4.880 -3.872 -3.137
Se -1.334 -1.542 -1.653
H -0.452 -4.853 0.173
H -2.592 -7.025 -2.371
Au 0.000 0.000 0.000
Se 0.425 -4.798 -1.361
```

Computed properties:
Volume in A^3/atom: 17.3
Spin magnetization in Bohr magnetons per cell: 0.0
Space-group type: P4/mbm
Raw total energy in eV/cell: -32.0

---

No. 7
DFT (PBE) results for a relaxed structure of Tb2YScTe4.

```
8
Lattice="4.288 0.000 0.000 0.000 7.509 -0.178 0.000 2.616 7.039" Properties=species:S:1:pos:R:3 pbc="T T T"
Te 4.288 2.586 1.640
Sc 2.144 3.754 -0.089
Te 2.144 3.896 5.268
Te 2.144 6.229 1.594
Tb 0.000 2.616 7.039
Y 0.000 5.062 3.431
Te 0.000 7.539 5.221
Tb 2.144 1.308 3.520
```

Computed properties:
Volume in A^3/atom: 28.6
Spin magnetization in Bohr magnetons per cell: 0.0
Space-group type: P2/m
ΔE_f (raw) in kJ/mol of atoms: -121
Raw total energy in eV/cell: -44.6

---

No. 8
DFT (PBE) results for a relaxed structure of La6Tl2GaRu.

```
10
Lattice="-1.875 -7.372 -4.945 4.773 -3.407 3.267 0.125 -8.209 3.879" Properties=species:S:1:pos:R:3 pbc="T T T"
La -0.220 -13.518 0.413
La 0.910 -2.707 0.791
Tl -0.027 -10.501 -0.984
La 2.113 -16.281 1.409
La 2.567 -11.158 1.251
Ru 0.000 0.000 0.000
Ga 1.449 -5.390 -0.839
La 0.457 -7.830 0.949
La 3.243 -5.470 1.787
Tl 3.050 -8.487 3.185
```

Computed properties:
Volume in A^3/atom: 30.0
Spin magnetization in Bohr magnetons per cell: 0.0
Space-group type: P-1
Raw total energy in eV/cell: -49.8

---

No. 9
DFT (PBE) results for a relaxed structure of PrNd7Al4.

```
12
Lattice="-0.697 5.283 -2.042 -7.213 3.900 4.579 3.465 5.223 4.359" Properties=species:S:1:pos:R:3 pbc="T T T"
Nd -2.215 8.062 5.668
Nd -0.878 10.332 3.109
Nd -3.567 4.075 3.787
Al 0.147 7.282 2.843
Nd -2.230 6.345 1.229
Pr 0.000 0.000 0.000
Al -4.592 7.125 4.054
Nd -0.348 2.642 -1.021
Al -1.900 11.297 5.955
Nd 0.598 3.999 2.169
Al -2.546 3.110 0.941
Nd -5.043 10.408 4.728
```

Computed properties:
Volume in A^3/atom: 29.9
Spin magnetization in Bohr magnetons per cell: 0.3
Space-group type: C2/m
Raw total energy in eV/cell: -53.9

---

No. 10
DFT (PBE) results for a relaxed structure of ReRuSe2.

```
8
Lattice="5.529 0.000 0.000 0.000 5.529 0.000 2.765 2.765 5.514" Properties=species:S:1:pos:R:3 pbc="T T T"
Re 0.000 0.000 0.000
Ru 2.765 2.765 0.000
Se 1.381 4.147 1.378
Re 5.529 2.765 2.757
Se 4.147 4.146 4.135
Se 6.911 6.912 4.135
Ru 2.765 5.529 2.757
Se 4.148 1.382 1.378
```

Computed properties:
Volume in A^3/atom: 21.1
Spin magnetization in Bohr magnetons per cell: 0.0
Space-group type: I-42d
ΔE_f (raw) in kJ/mol of atoms: 41
Raw total energy in eV/cell: -54.0

---

No. 11
DFT (PBE) results for a relaxed structure of Pr5Tm4Hg.

```
10
Lattice="3.668 0.000 0.000 0.000 3.668 0.000 0.000 0.000 24.006" Properties=species:S:1:pos:R:3 pbc="T T T"
Tm 0.000 0.000 4.613
Pr 1.834 1.834 2.103
Pr 1.834 1.834 21.903
Pr 1.834 1.834 16.922
Tm 0.000 0.000 14.467
Pr 1.834 1.834 7.084
Tm 0.000 0.000 19.394
Pr 1.834 1.834 12.003
Tm 0.000 0.000 9.539
Hg 0.000 0.000 0.000
```

Computed properties:
Volume in A^3/atom: 32.3
Spin magnetization in Bohr magnetons per cell: 0.0
Space-group type: P4/mmm
Raw total energy in eV/cell: -42.7

---

No. 12
DFT (PBE) results for a relaxed structure of RbCuO3.

```
5
Lattice="-3.023 2.282 1.914 -2.213 0.105 -3.619 -1.993 -3.576 1.115" Properties=species:S:1:pos:R:3 pbc="T T T"
O -1.511 1.141 0.957
O -0.997 -1.788 0.558
Rb 0.000 0.000 0.000
O -1.106 0.052 -1.810
Cu -3.614 -0.595 -0.295
```

Computed properties:
Volume in A^3/atom: 15.3
Spin magnetization in Bohr magnetons per cell: 0.9
Space-group type: Pm-3m
ΔE_f (raw) in kJ/mol of atoms: 138
Raw total energy in eV/cell: -12.8

---

No. 13
DFT (PBE) results for a relaxed structure of BaSrAs2.

```
4
Lattice="-0.323 4.892 3.864 -4.450 3.418 2.735 -0.283 -2.470 4.260" Properties=species:S:1:pos:R:3 pbc="T T T"
As -4.642 7.539 7.128
As -3.898 5.143 7.536
Sr -1.223 1.770 2.162
Ba -2.594 2.620 6.063
```

Computed properties:
Volume in A^3/atom: 32.1
Spin magnetization in Bohr magnetons per cell: 0.0
Space-group type: Cm
Raw total energy in eV/cell: -16.8

---

No. 14
DFT (PBE) results for a relaxed structure of SrCdSnHg2.

```
5
Lattice="-1.491 1.819 3.935 -4.272 -1.327 -1.005 3.955 -6.038 1.619" Properties=species:S:1:pos:R:3 pbc="T T T"
Sn -0.208 -1.986 3.510
Hg 0.845 -4.556 2.426
Sr 0.000 0.000 0.000
Cd -1.599 -3.559 1.040
Hg -2.652 -0.990 2.123
```

Computed properties:
Volume in A^3/atom: 27.9
Spin magnetization in Bohr magnetons per cell: 0.0
Space-group type: I-4m2
Raw total energy in eV/cell: -8.8

---

No. 15
DFT (PBE) results for a relaxed structure of SrMgHg3.

```
10
Lattice="-0.245 2.073 -3.182 3.743 -2.439 -1.877 -9.054 -10.779 -4.051" Properties=species:S:1:pos:R:3 pbc="T T T"
Hg -7.740 -9.821 -5.804
Sr -0.544 -2.181 -1.379
Hg -2.700 -3.303 -4.220
Hg -5.832 -7.795 -4.631
Mg -4.473 -5.186 -5.311
Hg -2.856 -7.842 -4.890
Sr -5.012 -8.964 -7.731
Hg 0.276 -3.350 -4.480
Hg 2.185 -1.324 -3.306
Mg -1.083 -5.959 -3.799
```

Computed properties:
Volume in A^3/atom: 26.8
Spin magnetization in Bohr magnetons per cell: 0.0
Space-group type: Cmcm
Raw total energy in eV/cell: -11.8

---

No. 16
DFT (PBE) results for a relaxed structure of PmSi4Os.

```
12
Lattice="-0.203 6.133 0.566 -4.976 0.232 -4.289 -3.077 -3.583 4.160" Properties=species:S:1:pos:R:3 pbc="T T T"
Pm -4.339 -2.916 3.142
Si -4.937 2.548 -3.157
Si -2.247 -0.960 1.536
Si -3.319 0.234 3.594
Si -6.008 3.742 -1.099
Si -3.471 2.153 0.908
Os -1.640 1.275 2.363
Si -2.493 3.773 -0.889
Pm -3.917 5.699 -2.706
Si -5.763 -0.991 1.326
Si -4.785 0.629 -0.471
Os -4.027 -1.676 -0.065
```

Computed properties:
Volume in A^3/atom: 18.4
Spin magnetization in Bohr magnetons per cell: 0.0
Space-group type: C2/c
ΔE_f (raw) in kJ/mol of atoms: -35
Raw total energy in eV/cell: -79.7

---

No. 17
DFT (PBE) results for a relaxed structure of HfCr2H.

```
8
Lattice="5.184 0.000 0.000 0.000 5.184 0.000 2.592 2.592 3.670" Properties=species:S:1:pos:R:3 pbc="T T T"
Cr 6.480 5.184 2.752
H 2.592 2.592 0.000
Hf 0.000 0.000 0.000
Hf 5.184 2.592 1.835
H 2.592 5.184 1.835
Cr 2.592 3.888 0.917
Cr 3.888 5.184 2.752
Cr 2.592 1.296 0.917
```

Computed properties:
Volume in A^3/atom: 12.3
Spin magnetization in Bohr magnetons per cell: 0.1
Space-group type: Fd-3m
Raw total energy in eV/cell: -64.8

---

No. 18
DFT (PBE) results for a relaxed structure of Cs2K4InSn2.

```
9
Lattice="-1.998 2.024 -5.613 -9.308 -0.789 -0.135 -5.721 7.236 1.482" Properties=species:S:1:pos:R:3 pbc="T T T"
K -6.816 0.392 -0.813
Sn -13.700 6.686 -2.793
K -12.242 3.533 -4.368
K -10.210 8.078 -3.453
K -4.785 4.937 0.102
Cs -10.303 4.819 -1.060
Cs -6.723 3.651 -3.206
Sn -3.327 1.784 -1.473
In -0.999 1.012 -2.806
```

Computed properties:
Volume in A^3/atom: 48.1
Spin magnetization in Bohr magnetons per cell: 1.0
Space-group type: C2/m
Raw total energy in eV/cell: -17.9

---

No. 19
DFT (PBE) results for a relaxed structure of Pb2C.

```
3
Lattice="3.552 0.000 0.000 0.000 3.552 0.000 0.000 0.000 5.452" Properties=species:S:1:pos:R:3 pbc="T T T"
C 0.000 0.000 0.000
Pb 0.000 0.000 2.726
Pb 1.776 1.776 0.000
```

Computed properties:
Volume in A^3/atom: 22.9
Spin magnetization in Bohr magnetons per cell: 0.0
Space-group type: P4/mmm
Raw total energy in eV/cell: -12.8

---

No. 20
DFT (PBE) results for a relaxed structure of NaGdLuTl.

```
4
Lattice="-1.984 -4.992 -0.281 2.919 -4.158 1.767 -1.439 -2.580 4.496" Properties=species:S:1:pos:R:3 pbc="T T T"
Gd -0.126 -2.932 1.495
Tl -0.252 -5.865 2.990
Lu -0.378 -8.797 4.486
Na 0.000 0.000 0.000
```

Computed properties:
Volume in A^3/atom: 27.5
Spin magnetization in Bohr magnetons per cell: 7.7
Space-group type: F-43m
Raw total energy in eV/cell: -22.4

---

No. 21
DFT (PBE) results for a relaxed structure of NaAcAsO5.

```
16
Lattice="6.075 0.091 0.009 -1.686 5.837 0.009 -1.823 -2.462 8.037" Properties=species:S:1:pos:R:3 pbc="T T T"
O -0.066 0.964 4.834
O 3.215 -0.231 2.691
As 3.074 1.360 2.018
As -0.508 2.106 6.037
O 0.714 2.017 7.240
Na 0.538 3.237 2.018
O 2.633 2.503 3.222
O 1.852 1.449 0.815
O -0.649 3.697 5.364
Ac -0.911 -1.231 4.019
O -1.341 4.629 2.018
O 3.908 -1.163 6.037
Ac 0.000 0.000 0.000
O -2.071 1.777 6.710
O 4.637 1.690 1.345
Na 2.028 0.229 6.037
```

Computed properties:
Volume in A^3/atom: 17.9
Spin magnetization in Bohr magnetons per cell: 2.1
Space-group type: C2/c
ΔE_f (raw) in kJ/mol of atoms: -184
Raw total energy in eV/cell: -100.3

---

No. 22
DFT (PBE) results for a relaxed structure of Tl2AsOs.

```
4
Lattice="5.211 -0.013 0.000 1.416 5.015 0.000 -3.313 -2.501 3.150" Properties=species:S:1:pos:R:3 pbc="T T T"
As 0.708 2.508 1.575
Tl 0.000 0.000 0.000
Tl 3.313 2.501 0.000
Os 2.606 -0.006 1.575
```

Computed properties:
Volume in A^3/atom: 20.6
Spin magnetization in Bohr magnetons per cell: 0.0
Space-group type: I4/mmm
Raw total energy in eV/cell: -16.6

---

No. 23
DFT (PBE) results for a relaxed structure of BaMo2HW.

```
5
Lattice="5.124 0.000 0.000 0.000 3.651 0.000 0.000 0.000 5.124" Properties=species:S:1:pos:R:3 pbc="T T T"
W 0.000 0.000 0.000
Mo 0.000 0.000 2.562
Ba 2.562 1.826 2.562
Mo 2.562 0.000 0.000
H 0.000 1.826 0.000
```

Computed properties:
Volume in A^3/atom: 19.2
Spin magnetization in Bohr magnetons per cell: 1.8
Space-group type: P4/mmm
Raw total energy in eV/cell: -32.8

---

No. 24
DFT (PBE) results for a relaxed structure of DyHoSe3.

```
10
Lattice="-4.761 3.025 4.450 -2.769 -3.809 5.427 2.323 1.697 7.132" Properties=species:S:1:pos:R:3 pbc="T T T"
Se -4.606 2.337 7.343
Se -2.140 -0.939 5.910
Se -3.068 1.852 11.100
Se -0.528 2.407 7.620
Dy -0.401 1.349 10.254
Se -0.601 -1.425 9.666
Ho 0.112 0.801 5.376
Se -4.680 -1.494 9.390
Ho -5.319 0.112 11.634
Dy -4.806 -0.436 6.755
```

Computed properties:
Volume in A^3/atom: 29.0
Spin magnetization in Bohr magnetons per cell: 0.0
Space-group type: R-3
ΔE_f (raw) in kJ/mol of atoms: -179
Raw total energy in eV/cell: -57.8